(1)
Y3Mg3AlAg2 | the Open Quantum Materials Database | PBE | relaxed; final energy = -3.988 eV per atom; SG = P-62m
1.0
7.6730 0.0000 0.0000
-3.8365 6.6450 0.0000
0.0000 0.0000 4.1745
Y Mg Al Ag
3 3 1 2
Cartesian
-2.2555 3.9066 0.0000
1.5810 2.7384 0.0000
4.5110 0.0000 0.0000
-0.9471 1.6404 2.0873
1.8941 0.0000 2.0873
2.8894 5.0046 2.0873
0.0000 0.0000 0.0000
0.0000 4.4300 2.0873
3.8365 2.2150 2.0873


(2)
TeIrPd2 | the Open Quantum Materials Database | PBE | relaxed; final energy = -5.527 eV per atom; SG = F-43m
1.0
6.4409 0.0000 0.0000
0.0000 6.4409 0.0000
0.0000 0.0000 6.4409
Te Ir Pd
4 4 8
Cartesian
0.0000 0.0000 0.0000
0.0000 3.2205 3.2205
3.2205 0.0000 3.2205
3.2205 3.2205 0.0000
1.6102 1.6102 1.6102
1.6102 4.8307 4.8307
4.8307 1.6102 4.8307
4.8307 4.8307 1.6102
0.0000 0.0000 3.2205
0.0000 3.2205 0.0000
1.6102 1.6102 4.8307
1.6102 4.8307 1.6102
3.2205 0.0000 0.0000
3.2205 3.2205 3.2205
4.8307 1.6102 1.6102
4.8307 4.8307 4.8307


(3)
CoSi2Pd | the Open Quantum Materials Database | PBE | relaxed; final energy = -5.701 eV per atom; SG = F-43m
1.0
5.9700 0.0000 0.0000
0.0000 5.9700 0.0000
0.0000 0.0000 5.9700
Co Si Pd
4 8 4
Cartesian
0.0000 0.0000 0.0000
0.0000 2.9850 2.9850
2.9850 0.0000 2.9850
2.9850 2.9850 0.0000
0.0000 0.0000 2.9850
0.0000 2.9850 0.0000
1.4925 1.4925 1.4925
1.4925 4.4775 4.4775
2.9850 0.0000 0.0000
2.9850 2.9850 2.9850
4.4775 1.4925 4.4775
4.4775 4.4775 1.4925
1.4925 1.4925 4.4775
1.4925 4.4775 1.4925
4.4775 1.4925 1.4925
4.4775 4.4775 4.4775